Model P:
Entry from Alexandria via LeMat-Bulk: Ca2SnHg4 after structural relaxation (PBE-GGA).

```
Ca2SnHg4
1.0
-2.793 2.793 7.943
2.793 -2.793 7.943
2.793 2.793 -7.943
Ca Sn Hg
2 1 4
direct
0.116 0.116 0.000
0.884 0.884 0.000
0.500 0.500 0.000
0.000 0.500 0.500
0.309 0.309 0.000
0.500 0.000 0.500
0.691 0.691 0.000
```

Summary:
Space-group type: I4/mmm


Model Q:
Entry from Alexandria via LeMat-Bulk: Ca2SnHg4 after structural relaxation (PBE-GGA).

```
Ca2SnHg4
1.0
2.685 1.550 7.547
-2.685 1.550 7.547
0.000 -3.101 7.547
Ca Sn Hg
2 1 4
direct
0.219 0.219 0.219
0.781 0.781 0.781
0.500 0.500 0.500
0.072 0.072 0.072
0.361 0.361 0.361
0.639 0.639 0.639
0.928 0.928 0.928
```

Summary:
Space-group type: R-3m


We find model Q to be the most stable, with the next structure 309 meV per atom higher.


Model P:
Entry from Alexandria via LeMat-Bulk: Sr4CaHg after structural relaxation (PBE-GGA).

```
Sr4CaHg
1.0
0.000 5.369 5.369
5.369 0.000 5.369
5.369 5.369 0.000
Sr Ca Hg
4 1 1
direct
0.125 0.125 0.125
0.125 0.125 0.626
0.125 0.626 0.125
0.626 0.125 0.125
0.750 0.750 0.750
0.500 0.500 0.500
```

Summary:
Space-group type: F-43m


Model Q:
Entry from Alexandria via LeMat-Bulk: Sr4CaHg after structural relaxation (PBE-GGA).

```
Sr4CaHg
1.0
4.085 0.000 0.000
0.000 4.085 0.000
0.000 0.000 16.142
Sr Ca Hg
4 1 1
direct
0.000 0.000 0.118
0.000 0.000 0.882
0.500 0.500 0.320
0.500 0.500 0.680
0.000 0.000 0.500
0.500 0.500 0.000
```

Summary:
Space-group type: P4/mmm


Model R:
Entry from Alexandria via LeMat-Bulk: Sr4CaHg after structural relaxation (PBE-GGA).

```
Sr4CaHg
1.0
5.296 -7.703 0.000
5.296 7.703 0.000
-2.364 0.000 6.860
Sr Ca Hg
8 2 2
direct
0.063 0.722 0.946
0.183 0.368 0.630
0.278 0.937 0.554
0.368 0.183 0.130
0.632 0.817 0.870
0.722 0.063 0.446
0.817 0.632 0.370
0.937 0.278 0.054
0.389 0.611 0.250
0.611 0.389 0.750
0.001 0.999 0.250
0.999 0.001 0.750
```

Summary:
Space-group type: C2/c


We find model Q to be the most stable, with the next structure 43 meV per atom higher.


Model P:
Entry from Alexandria via LeMat-Bulk: SrCaHg4 after structural relaxation (PBE-GGA).

```
SrCaHg4
1.0
-2.505 3.803 4.405
2.505 -3.803 4.405
2.505 3.803 -4.405
Sr Ca Hg
1 1 4
direct
0.000 0.000 0.000
0.500 0.000 0.500
0.093 0.334 0.758
0.424 0.666 0.758
0.576 0.334 0.242
0.907 0.666 0.242
```

Summary:
Space-group type: Immm


Model Q:
Entry from Alexandria via LeMat-Bulk: SrCaHg4 after structural relaxation (PBE-GGA).

```
SrCaHg4
1.0
4.425 0.000 0.000
0.000 4.425 0.000
0.000 0.000 9.974
Sr Ca Hg
1 1 4
direct
0.000 0.000 0.000
0.500 0.500 0.500
0.000 0.500 0.261
0.000 0.500 0.739
0.500 0.000 0.261
0.500 0.000 0.739
```

Summary:
Space-group type: P4/mmm


Model R:
Entry from Alexandria via LeMat-Bulk: SrCaHg4 after structural relaxation (PBE-GGA).

```
SrCaHg4
1.0
0.000 4.360 4.360
4.360 0.000 4.360
4.360 4.360 0.000
Sr Ca Hg
1 1 4
direct
0.000 0.000 0.000
0.750 0.750 0.750
0.375 0.375 0.375
0.375 0.375 0.875
0.375 0.875 0.375
0.875 0.375 0.375
```

Summary:
Space-group type: F-43m


We find model P to be the most stable, with the next structure 141 meV per atom higher.


Model P:
Entry from Alexandria via LeMat-Bulk: Sr2CaHg2 after structural relaxation (PBE-GGA).

```
Sr2CaHg2
1.0
8.841 0.000 0.000
0.000 8.841 0.000
0.000 0.000 4.501
Sr Ca Hg
4 2 4
direct
0.158 0.342 0.000
0.342 0.842 0.000
0.658 0.158 0.000
0.842 0.658 0.000
0.000 0.000 0.500
0.500 0.500 0.500
0.142 0.642 0.500
0.358 0.142 0.500
0.642 0.858 0.500
0.858 0.358 0.500
```

Summary:
Space-group type: P4/mbm


Model Q:
Entry from Alexandria via LeMat-Bulk: Sr2CaHg2 after structural relaxation (PBE-GGA).

```
Sr2CaHg2
1.0
-2.231 2.231 10.239
2.231 -2.231 10.239
2.231 2.231 -10.239
Sr Ca Hg
2 1 2
direct
0.125 0.125 0.000
0.875 0.875 0.000
0.500 0.500 0.000
0.250 0.750 0.500
0.750 0.250 0.500
```

Summary:
Space-group type: I4/mmm


Model R:
Entry from Alexandria via LeMat-Bulk: Sr2CaHg2 after structural relaxation (PBE-GGA).

```
Sr2CaHg2
1.0
9.488 0.000 0.000
0.000 9.488 0.000
0.000 0.000 3.779
Sr Ca Hg
4 2 4
direct
0.136 0.364 0.000
0.364 0.864 0.000
0.636 0.136 0.000
0.864 0.636 0.000
0.000 0.000 0.000
0.500 0.500 0.000
0.162 0.662 0.500
0.338 0.162 0.500
0.662 0.838 0.500
0.838 0.338 0.500
```

Summary:
Space-group type: P4/mbm


We find model P to be the most stable, with the next structure 132 meV per atom higher.


Model P:
Entry from Alexandria via LeMat-Bulk: SrCaHg after structural relaxation (PBE-GGA).

```
SrCaHg
1.0
-2.748 8.109 3.898
2.748 -8.109 3.898
2.748 8.109 -3.898
Sr Ca Hg
3 3 3
direct
0.000 0.000 0.000
0.485 0.127 0.358
0.769 0.127 0.642
0.323 0.639 0.684
0.472 0.472 0.000
0.955 0.639 0.316
0.167 0.346 0.820
0.274 0.774 0.500
0.526 0.346 0.180
```

Summary:
Space-group type: Imm2


Model Q:
Entry from Alexandria via LeMat-Bulk: SrCaHg after structural relaxation (PBE-GGA).

```
SrCaHg
1.0
0.000 3.874 3.874
3.874 0.000 3.874
3.874 3.874 0.000
Sr Ca Hg
1 1 1
direct
0.000 0.000 0.000
0.500 0.500 0.500
0.250 0.250 0.250
```

Summary:
Space-group type: F-43m


We find model P to be the most stable, with the next structure 27 meV per atom higher.